Density functional theory data (GGA-PBE) for Tb2IrOs after structural relaxation.

Lattice parameters (Å, degrees): 3.4317 3.4317 6.8413 90.00 90.00 90.00
Space group P4/mmm (No. 123)
Asymmetric unit:
1 Tb 0.0000 0.0000 0.2463 (multiplicity 2)
2 Ir 0.5000 0.5000 0.5000 (multiplicity 1)
3 Os 0.5000 0.5000 0.0000 (multiplicity 1)

Computed properties:
Formation enthalpy at 0 K: -414 meV per atom
Crystal system: tetragonal
Density: 14.4 Mg/m³
DOS(E_F): 0.194 states/eV per atom